# 1
Computed, not measured: a geometry-optimized Sr3CaSe structure at the PBEsol level of DFT.

abc: 6.047 6.047 6.047
angles: 90.00 90.00 90.00
Space group Pm-3m (No. 221)
Symmetry-distinct sites (fractional):
Sr: 0.000 0.000 0.500 [3 per cell]
Ca: 0.500 0.500 0.500 [1 per cell]
Se: 0.000 0.000 0.000 [1 per cell]

Calculated values
Formation energy without anion corrections, meV/atom: -683
Total moment, μB per formula unit: 0.00
Crystal system: cubic
Calculated volume, A^3/atom: 44.221
Calculated density, Mg/m³: 2.87

***

# 2
Computed, not measured: a geometry-optimized ScTeN2O structure at the PBEsol level of DFT.

abc: 4.170 4.170 3.900
angles: 90.00 90.00 90.00
Space group P4/mmm (No. 123)
Symmetry-distinct sites (fractional):
Sc: 0.000 0.000 0.000 [1 per cell]
Te: 0.500 0.500 0.500 [1 per cell]
N: 0.000 0.500 0.000 [2 per cell]
O: 0.000 0.000 0.500 [1 per cell]

Calculated values
Formation energy without anion corrections, meV/atom: 140
Total moment, μB per formula unit: 1.05
Crystal system: tetragonal
Calculated volume, A^3/atom: 13.562
Calculated density, Mg/m³: 5.30

***

# 3
Computed, not measured: a geometry-optimized MnNbFe2Se structure at the PBEsol level of DFT.

abc: 4.232 4.232 4.331
angles: 90.00 90.00 90.00
Space group P4/mmm (No. 123)
Symmetry-distinct sites (fractional):
Mn: 0.000 0.000 0.000 [1 per cell]
Nb: 0.500 0.500 0.000 [1 per cell]
Fe: 0.000 0.500 0.500 [2 per cell]
Se: 0.000 0.000 0.500 [1 per cell]

Calculated values
Formation energy without anion corrections, meV/atom: 791
Total moment, μB per formula unit: 4.47
Crystal system: tetragonal
Calculated volume, A^3/atom: 15.515
Calculated density, Mg/m³: 7.25

***

# 4
Computed, not measured: a geometry-optimized ZnSbPCl2 structure at the PBEsol level of DFT.

abc: 4.564 4.564 5.019
angles: 90.00 90.00 90.00
Space group P4/mmm (No. 123)
Symmetry-distinct sites (fractional):
Zn: 0.000 0.000 0.000 [1 per cell]
Sb: 0.500 0.500 0.500 [1 per cell]
P: 0.000 0.000 0.500 [1 per cell]
Cl: 0.000 0.500 0.000 [2 per cell]

Calculated values
Formation energy without anion corrections, meV/atom: 45
Total moment, μB per formula unit: 0.00
Crystal system: tetragonal
Calculated volume, A^3/atom: 20.909
Calculated density, Mg/m³: 4.59

***

# 5
Computed, not measured: a geometry-optimized ZrTiBr3 structure at the PBEsol level of DFT.

abc: 5.047 5.047 5.047
angles: 90.00 90.00 90.00
Space group Pm-3m (No. 221)
Symmetry-distinct sites (fractional):
Zr: 0.000 0.000 0.000 [1 per cell]
Ti: 0.500 0.500 0.500 [1 per cell]
Br: 0.000 0.500 0.500 [3 per cell]

Calculated values
Formation energy without anion corrections, meV/atom: -24
Total moment, μB per formula unit: 4.87
Crystal system: cubic
Calculated volume, A^3/atom: 25.705
Calculated density, Mg/m³: 4.89

***

# 6
Computed, not measured: a geometry-optimized CrP2Rh structure at the PBEsol level of DFT.

abc: 2.866 2.866 5.740
angles: 90.00 90.00 90.00
Space group P4/mmm (No. 123)
Symmetry-distinct sites (fractional):
Cr: 0.000 0.000 0.000 [1 per cell]
P: 0.500 0.500 0.225 [2 per cell]
Rh: 0.000 0.000 0.500 [1 per cell]

Calculated values
Total moment, μB per formula unit: 0.00
Crystal system: tetragonal
Calculated volume, A^3/atom: 11.787
Calculated density, Mg/m³: 7.64
Energy of formation, meV/atom: -376

***

# 7
Computed, not measured: a geometry-optimized HgAsOs2 structure at the PBEsol level of DFT.

abc: 6.276 6.276 6.276
angles: 90.00 90.00 90.00
Space group Fm-3m (No. 225)
Symmetry-distinct sites (fractional):
Hg: 0.000 0.000 0.000 [4 per cell]
As: 0.000 0.000 0.500 [4 per cell]
Os: 0.250 0.250 0.250 [8 per cell]

Calculated values
Total moment, μB per formula unit: 0.00
Crystal system: cubic
Calculated volume, A^3/atom: 15.452
Calculated density, Mg/m³: 17.62
Energy of formation, meV/atom: 855

***

# 8
Computed, not measured: a geometry-optimized In2TeBr structure at the PBEsol level of DFT.

abc: 12.884 3.793 4.905
angles: 90.00 112.27 90.00
Space group Cm (No. 8)
Symmetry-distinct sites (fractional):
In: 0.000 0.000 0.000 [2 per cell]
In: 0.218 0.500 0.222 [2 per cell]
Te: 0.297 0.000 0.799 [2 per cell]
Br: 0.017 0.500 0.518 [2 per cell]

Calculated values
Formation energy without anion corrections, meV/atom: -295
Total moment, μB per formula unit: 0.00
Crystal system: monoclinic
Calculated volume, A^3/atom: 27.722
Calculated density, Mg/m³: 6.55

***

# 9
Computed, not measured: a geometry-optimized La2CdHg structure at the PBEsol level of DFT.

abc: 7.687 7.687 7.687
angles: 90.00 90.00 90.00
Space group Fm-3m (No. 225)
Symmetry-distinct sites (fractional):
La: 0.250 0.250 0.250 [8 per cell]
Cd: 0.000 0.000 0.000 [4 per cell]
Hg: 0.000 0.000 0.500 [4 per cell]

Calculated values
Total moment, μB per formula unit: 0.45
Crystal system: cubic
Calculated volume, A^3/atom: 28.387
Calculated density, Mg/m³: 8.64
Energy of formation, meV/atom: -427

***

# 10
Computed, not measured: a geometry-optimized Tc3IrN structure at the PBEsol level of DFT.

abc: 4.639 4.639 4.639
angles: 90.00 90.00 90.00
Space group Pm-3m (No. 221)
Symmetry-distinct sites (fractional):
Tc: 0.000 0.000 0.500 [3 per cell]
Ir: 0.000 0.000 0.000 [1 per cell]
N: 0.500 0.500 0.500 [1 per cell]

Calculated values
Formation energy without anion corrections, meV/atom: 3036
Total moment, μB per formula unit: 1.56
Crystal system: cubic
Calculated volume, A^3/atom: 19.966
Calculated density, Mg/m³: 8.32

***

# 11
Computed, not measured: a geometry-optimized CrPbBr2 structure at the PBEsol level of DFT.

abc: 3.6622 3.6622 28.0112
angles: 90.00 90.00 120.00
Space group R-3m (No. 166, hexagonal axes)
Symmetry-distinct sites (fractional):
Cr: 0.0000 0.0000 0.0000 [3 per cell]
Pb: 0.0000 0.0000 0.5000 [3 per cell]
Br: 0.0000 0.0000 0.3898 [6 per cell]

Calculated values
Formation energy without anion corrections, meV/atom: -224
Total moment, μB per formula unit: 4.46
Crystal system: trigonal
Calculated volume, A^3/atom: 27.112
Calculated density, Mg/m³: 6.42

***

# 12
Computed, not measured: a geometry-optimized Zn2Se structure at the PBEsol level of DFT.

abc: 3.565 3.565 8.122
angles: 90.00 90.00 90.00
Space group I4/mmm (No. 139)
Symmetry-distinct sites (fractional):
Zn: 0.000 0.000 0.167 [4 per cell]
Se: 0.000 0.000 0.500 [2 per cell]

Calculated values
Formation energy without anion corrections, meV/atom: 72
Total moment, μB per formula unit: 0.00
Crystal system: tetragonal
Calculated volume, A^3/atom: 17.202
Calculated density, Mg/m³: 6.75

***

Look up the total moment of the fifth one.
4.87 μB per formula unit

***

Which of these has the lowest calculated volume?
CrP2Rh

***

Look up the total moment of the fourth one.
0.00 μB per formula unit